Entry 1:
The following is a DFT calculation (GGA-PBE) of ReAsBr2 after structural relaxation.

Cell lengths 6.1909, 9.2100, 3.5354 Å; angles 90.00, 123.34, 90.00 degrees
Last column: nearest neighbours and their distance in Å.
Atoms (fractional coordinates):
Re  0.0000  0.0000  0.0000  4 Br 2.80, 2 As 3.10
Re  0.5000  0.5000  0.0000  4 Br 2.80, 2 As 3.10
As  0.0000  0.5000  0.0000  4 Br 2.80, 2 Re 3.10
As  0.5000  0.0000  0.0000  4 Br 2.80, 2 Re 3.10
Br  0.2500  0.2500  0.5000  2 Re 2.80, 2 As 2.80, 2 Br 3.10
Br  0.2500  0.7500  0.5000  2 As 2.80, 2 Re 2.80, 2 Br 3.10
Br  0.7500  0.2500  0.5000  2 As 2.80, 2 Re 2.80, 2 Br 3.10
Br  0.7500  0.7500  0.5000  2 As 2.80, 2 Re 2.80, 2 Br 3.10

Values from the calculation:
E_form (uncorrected): 1.16 eV/atom
Final energy: -3.95 eV per atom
Space group: C2/m
D(E_F): 0.82 states/eV per atom


Entry 2:
The following is a DFT calculation (GGA-PBE) of Re2AsBr after structural relaxation.

Cell lengths 2.9817, 2.9817, 29.5748 Å; angles 90.00, 90.00, 120.00 degrees
Last column: nearest neighbours and their distance in Å.
Atoms (fractional coordinates):
Re  0.0000  0.0000  0.0000  3 As 2.60, 3 Re 2.72
Re  0.0000  0.0000  0.2620  3 Br 2.66, 9 Re 2.72-2.98
Re  0.3333  0.6667  0.6667  3 As 2.60, 3 Re 2.72
Re  0.3333  0.6667  0.9287  3 Br 2.66, 9 Re 2.72-2.98
Re  0.6667  0.3333  0.3333  3 As 2.60, 3 Re 2.72
Re  0.6667  0.3333  0.5954  3 Br 2.66, 9 Re 2.72-2.98
As  0.0000  0.0000  0.7328  3 Re 2.60
As  0.3333  0.6667  0.3994  3 Re 2.60
As  0.6667  0.3333  0.0661  3 Re 2.60
Br  0.0000  0.0000  0.5266  3 Re 2.66, 6 Br 2.98
Br  0.3333  0.6667  0.1933  3 Re 2.66, 6 Br 2.98
Br  0.6667  0.3333  0.8599  3 Re 2.66, 6 Br 2.98

Values from the calculation:
E_form (uncorrected): 0.37 eV/atom
Final energy: -7.43 eV per atom
Space group: R3m
D(E_F): 1.15 states/eV per atom


Entry 3:
The following is a DFT calculation (GGA-PBE) of Re2AsBr after structural relaxation.

Cell lengths 5.3472, 9.0318, 3.3539 Å; angles 90.00, 122.83, 90.00 degrees
Last column: nearest neighbours and their distance in Å.
Atoms (fractional coordinates):
Re  0.2500  0.2500  0.0000  4 Re 2.67-2.95, 2 Br 2.70, 2 As 2.70
Re  0.2500  0.7500  0.0000  4 Re 2.67-2.95, 2 Br 2.70, 2 As 2.70
Re  0.7500  0.2500  0.0000  4 Re 2.67-2.95, 2 As 2.70, 2 Br 2.70
Re  0.7500  0.7500  0.0000  4 Re 2.67-2.95, 2 As 2.70, 2 Br 2.70
As  0.0000  0.0000  0.5000  4 Br 2.67-2.95, 4 Re 2.70
As  0.5000  0.5000  0.5000  4 Br 2.67-2.95, 4 Re 2.70
Br  0.0000  0.5000  0.5000  4 As 2.67-2.95, 4 Re 2.70
Br  0.5000  0.0000  0.5000  4 As 2.67-2.95, 4 Re 2.70

Values from the calculation:
E_form (uncorrected): 1.20 eV/atom
Final energy: -6.60 eV per atom
Space group: C2/m
D(E_F): 0.80 states/eV per atom


Entry 4:
The following is a DFT calculation (GGA-PBE) of Re2AsBr after structural relaxation.

Cell lengths 7.8902, 2.9968, 8.1629 Å; angles 90.00, 106.88, 90.00 degrees
Last column: nearest neighbours and their distance in Å.
Atoms (fractional coordinates):
Re  0.0000  0.0000  0.0000  3 Re 2.40-2.66, 3 As 2.57-2.61
Re  0.1895  0.5000  0.8480  3 Re 2.40-2.66, 2 Br 2.55
Re  0.5000  0.5000  0.0000  3 Re 2.40-2.66, 3 As 2.57-2.61
Re  0.6895  0.0000  0.8480  3 Re 2.40-2.66, 2 Br 2.55
As  0.3378  0.0000  0.1612  3 Re 2.57-2.61
As  0.8378  0.5000  0.1612  3 Re 2.57-2.61
Br  0.1285  0.0000  0.5842  2 Re 2.55
Br  0.6285  0.5000  0.5842  2 Re 2.55

Values from the calculation:
E_form (uncorrected): 0.36 eV/atom
Final energy: -7.45 eV per atom
Space group: Cm
D(E_F): 0.89 states/eV per atom


Entry 5:
The following is a DFT calculation (GGA-PBE) of ReAs2Br2 after structural relaxation.

Cell lengths 5.1744, 5.1744, 5.1501 Å; angles 90.00, 90.00, 90.00 degrees
Last column: nearest neighbours and their distance in Å.
Atoms (fractional coordinates):
Re  0.0000  0.0000  0.0000  8 As 3.65, 4 Br 3.66
As  0.0000  0.5000  0.5000  2 Br 2.59
As  0.5000  0.0000  0.5000  2 Br 2.59
Br  0.5000  0.5000  0.0000  2 Br 2.58
Br  0.5000  0.5000  0.5000  2 Br 2.58, 4 As 2.59

Values from the calculation:
E_form (uncorrected): 1.92 eV/atom
Final energy: -3.09 eV per atom
Space group: P4/mmm
D(E_F): 0.50 states/eV per atom


Entry 6:
The following is a DFT calculation (GGA-PBE) of ReAsBr2 after structural relaxation.

Cell lengths 8.8111, 3.2074, 7.8537 Å; angles 90.00, 107.62, 90.00 degrees
Last column: nearest neighbours and their distance in Å.
Atoms (fractional coordinates):
Re  0.0000  0.0000  0.0000  3 As 2.48-2.51, 4 Br 2.65-2.66
Re  0.5000  0.5000  0.0000  3 As 2.48-2.51, 4 Br 2.65-2.66
As  0.2189  0.5000  0.0001  3 Re 2.48-2.51
As  0.7189  0.0000  0.0001  3 Re 2.48-2.51
Br  0.0462  0.5000  0.2806  2 Re 2.66
Br  0.3952  0.0000  0.7196  2 Re 2.65
Br  0.5462  0.0000  0.2806  2 Re 2.66
Br  0.8952  0.5000  0.7196  2 Re 2.65

Values from the calculation:
E_form (uncorrected): 0.15 eV/atom
Final energy: -4.96 eV per atom
Space group: Cm
D(E_F): 0.21 states/eV per atom


Entry 7:
The following is a DFT calculation (GGA-PBE) of ReAsBr2 after structural relaxation.

Cell lengths 15.7231, 3.1157, 4.2856 Å; angles 90.00, 105.50, 90.00 degrees
Last column: nearest neighbours and their distance in Å.
Atoms (fractional coordinates):
Re  0.0000  0.0000  0.0000  4 As 2.65, 4 Br 2.68
Re  0.5000  0.5000  0.0000  4 As 2.65, 4 Br 2.68
As  0.0000  0.5000  0.5000  4 Re 2.65
As  0.5000  0.0000  0.5000  4 Re 2.65
Br  0.1436  0.5000  0.1407  2 Re 2.68
Br  0.3564  0.0000  0.8593  2 Re 2.68
Br  0.6436  0.0000  0.1407  2 Re 2.68
Br  0.8564  0.5000  0.8593  2 Re 2.68

Values from the calculation:
E_form (uncorrected): 0.35 eV/atom
Final energy: -4.76 eV per atom
Space group: C2/m
D(E_F): 0.15 states/eV per atom


Entry 8:
The following is a DFT calculation (GGA-PBE) of Re2AsBr after structural relaxation.

Cell lengths 2.9166, 4.3076, 5.3861 Å; angles 90.00, 90.00, 90.00 degrees
Last column: nearest neighbours and their distance in Å.
Atoms (fractional coordinates):
Re  0.0000  0.0000  0.0000  4 Br 2.60
Re  0.5000  0.0000  0.5000  4 As 2.60
As  0.0000  0.5000  0.5000  4 Re 2.60
Br  0.5000  0.5000  0.0000  4 Re 2.60

Values from the calculation:
E_form (uncorrected): 1.25 eV/atom
Final energy: -6.55 eV per atom
Space group: Pmmm
D(E_F): 1.26 states/eV per atom


D(E_F) of number 8 (Re2AsBr)?
1.26 states/eV per atom